# HgMoBr (PBE, relaxed)
data_HgMoBr
_cell_length_a 7.000
_cell_length_b 7.000
_cell_length_c 7.000
_cell_angle_alpha 90.00
_cell_angle_beta 90.00
_cell_angle_gamma 90.00
_space_group_name_H-M_alt 'F -4 3 m'
_space_group_IT_number 216
_space_group_name_Hall 'F -4 2 3'
loop_
_atom_site_label
_atom_site_type_symbol
_atom_site_fract_x
_atom_site_fract_y
_atom_site_fract_z
Hg1 Hg 0.000 0.000 0.000
Mo1 Mo 0.250 0.250 0.750
Br1 Br 0.000 0.000 0.500
# energy above the most stable polymorph in this dataset: 534 meV/atom
# calculated volume: 28.58 Å³ per atom
# mass density: 7.29 g/cm3
# energy: -40.72 eV/cell
# energy relative to the elements, uncorrected: 0.87 eV per atom